Record 1
An optimized crystal structure of NaTeAu, computed with PBE-GGA.

Cell and atoms, written as POSCAR:
```
NaTeAu
1.0
4.696 0.000 0.000
-2.348 4.067 0.000
0.000 0.000 8.608
Na Te Au
2 2 2
Direct
0.000 0.000 0.000 Na
0.000 0.000 0.500 Na
0.333 0.667 0.250 Te
0.667 0.333 0.750 Te
0.333 0.667 0.750 Au
0.667 0.333 0.250 Au
```

Properties
* energy: -3.11 eV per atom


Record 2
An optimized crystal structure of NaTeAu, computed with PBE-GGA.

Cell and atoms, written as POSCAR:
```
NaTeAu
1.0
5.159 0.000 0.000
-2.580 4.468 0.000
0.000 0.000 6.033
Na Te Au
2 2 2
Direct
0.333 0.667 0.250 Na
0.667 0.333 0.750 Na
0.333 0.667 0.750 Te
0.667 0.333 0.250 Te
0.000 0.000 0.000 Au
0.000 0.000 0.500 Au
```

Properties
* energy: -2.78 eV per atom


Record 3
An optimized crystal structure of NaTeAu, computed with PBE-GGA.

Cell and atoms, written as POSCAR:
```
NaTeAu
1.0
10.993 0.000 0.000
0.000 6.001 0.000
0.000 0.000 5.583
Na Te Au
4 4 4
Direct
0.110 0.250 0.030 Na
0.390 0.750 0.530 Na
0.610 0.250 0.470 Na
0.890 0.750 0.970 Na
0.148 0.750 0.237 Te
0.352 0.250 0.737 Te
0.648 0.750 0.263 Te
0.852 0.250 0.763 Te
0.000 0.000 0.500 Au
0.000 0.500 0.500 Au
0.500 0.000 0.000 Au
0.500 0.500 0.000 Au
```

Properties
* energy: -3.12 eV per atom


Record 4
An optimized crystal structure of NaTeAu, computed with PBE-GGA.

Cell and atoms, written as POSCAR:
```
NaTeAu
1.0
7.343 0.000 0.000
-3.671 6.359 0.000
0.000 0.000 4.718
Na Te Au
3 3 3
Direct
0.000 0.572 0.000 Na
0.428 0.428 0.000 Na
0.572 0.000 0.000 Na
0.000 0.000 0.000 Te
0.333 0.667 0.500 Te
0.667 0.333 0.500 Te
0.000 0.243 0.500 Au
0.243 0.000 0.500 Au
0.757 0.757 0.500 Au
```

Properties
* energy: -3.06 eV per atom


Record 5
An optimized crystal structure of NaTeAu, computed with PBE-GGA.

Cell and atoms, written as POSCAR:
```
NaTeAu
1.0
4.717 0.000 0.000
-2.359 4.085 0.000
0.000 0.000 7.934
Na Te Au
2 2 2
Direct
0.000 0.000 0.000 Na
0.000 0.000 0.500 Na
0.333 0.667 0.232 Te
0.667 0.333 0.732 Te
0.333 0.667 0.795 Au
0.667 0.333 0.295 Au
```

Properties
* energy: -3.10 eV per atom


Record 6
An optimized crystal structure of NaTlTe2Au2, computed with PBE-GGA.

Cell and atoms, written as POSCAR:
```
NaTlTe2Au2
1.0
4.716 0.000 0.000
-2.358 4.084 0.000
0.000 0.000 9.041
Na Tl Te Au
1 1 2 2
Direct
0.000 0.000 0.000 Na
0.000 0.000 0.500 Tl
0.333 0.667 0.235 Te
0.667 0.333 0.765 Te
0.333 0.667 0.768 Au
0.667 0.333 0.232 Au
```

Properties
* energy: -3.13 eV per atom


Record 7
An optimized crystal structure of NaUTe3Au, computed with PBE-GGA.

Cell and atoms, written as POSCAR:
```
NaUTe3Au
1.0
2.142 -7.401 0.000
2.142 7.401 0.000
0.000 0.000 11.257
Na U Te Au
2 2 6 2
Direct
0.225 0.775 0.750 Na
0.775 0.225 0.250 Na
0.000 0.000 0.000 U
0.000 0.000 0.500 U
0.090 0.910 0.250 Te
0.356 0.644 0.054 Te
0.356 0.644 0.446 Te
0.644 0.356 0.554 Te
0.644 0.356 0.946 Te
0.910 0.090 0.750 Te
0.468 0.532 0.250 Au
0.532 0.468 0.750 Au
```

Properties
* energy: -4.84 eV per atom


Record 8
An optimized crystal structure of NaTe4WAu3, computed with PBE-GGA.

Cell and atoms, written as POSCAR:
```
NaTe4WAu3
1.0
6.600 0.000 0.000
0.000 6.600 0.000
0.000 0.000 6.600
Na Te W Au
1 4 1 3
Direct
0.000 0.000 0.000 Na
0.267 0.267 0.267 Te
0.267 0.733 0.733 Te
0.733 0.267 0.733 Te
0.733 0.733 0.267 Te
0.500 0.500 0.500 W
0.000 0.500 0.500 Au
0.500 0.000 0.500 Au
0.500 0.500 0.000 Au
```

Properties
* energy: -4.03 eV per atom


Record 9
An optimized crystal structure of NaYTe3Au, computed with PBE-GGA.

Cell and atoms, written as POSCAR:
```
NaYTe3Au
1.0
11.233 0.000 0.000
0.000 4.167 0.000
0.000 0.000 15.284
Na Y Te Au
4 4 12 4
Direct
0.227 0.250 0.023 Na
0.273 0.750 0.523 Na
0.727 0.250 0.477 Na
0.773 0.750 0.977 Na
0.019 0.750 0.747 Y
0.481 0.250 0.247 Y
0.519 0.750 0.753 Y
0.981 0.250 0.253 Y
0.039 0.750 0.111 Te
0.074 0.250 0.603 Te
0.233 0.250 0.341 Te
0.267 0.750 0.841 Te
0.426 0.750 0.103 Te
0.461 0.250 0.611 Te
0.539 0.750 0.389 Te
0.574 0.250 0.897 Te
0.733 0.250 0.159 Te
0.767 0.750 0.659 Te
0.926 0.750 0.397 Te
0.961 0.250 0.889 Te
0.238 0.750 0.219 Au
0.262 0.250 0.719 Au
0.738 0.750 0.281 Au
0.762 0.250 0.781 Au
```

Properties
* energy: -4.26 eV per atom


Record 10
An optimized crystal structure of NaYTe3Au, computed with PBE-GGA.

Cell and atoms, written as POSCAR:
```
NaYTe3Au
1.0
2.082 -7.614 0.000
2.082 7.614 0.000
0.000 0.000 11.161
Na Y Te Au
2 2 6 2
Direct
0.229 0.771 0.750 Na
0.771 0.229 0.250 Na
0.000 0.000 0.000 Y
0.000 0.000 0.500 Y
0.093 0.907 0.250 Te
0.357 0.643 0.057 Te
0.357 0.643 0.443 Te
0.643 0.357 0.557 Te
0.643 0.357 0.943 Te
0.907 0.093 0.750 Te
0.470 0.530 0.250 Au
0.530 0.470 0.750 Au
```

Properties
* energy: -4.26 eV per atom


Record 11
An optimized crystal structure of NaThAu, computed with PBE-GGA.

Cell and atoms, written as POSCAR:
```
NaThAu
1.0
0.000 3.521 3.521
3.521 0.000 3.521
3.521 3.521 0.000
Na Th Au
1 1 1
Direct
0.000 0.000 0.000 Na
0.750 0.750 0.750 Th
0.500 0.500 0.500 Au
```

Properties
* distance to the lowest polymorph of the same formula: 468 meV per atom
* energy: -3.60 eV per atom


Record 12
An optimized crystal structure of NaThAu, computed with PBE-GGA.

Cell and atoms, written as POSCAR:
```
NaThAu
1.0
0.000 3.500 3.500
3.500 0.000 3.500
3.500 3.500 0.000
Na Th Au
1 1 1
Direct
0.000 0.000 0.000 Na
0.500 0.500 0.500 Th
0.250 0.250 0.250 Au
```

Properties
* distance to the lowest polymorph of the same formula: 0 meV per atom
* energy: -4.07 eV per atom